Arrangement one

LiW2Au after structural relaxation. Source: Alexandria via LeMat-Bulk, functional PBE-GGA.

## Properties
The value obtained for the total magnetization is 0.0 μB/cell. Its density is 15270 kg/m³.

Cell lengths 3.704, 3.704, 4.529 Å; angles 90.00, 90.00, 90.00 degrees
Space group P4/mmm (No. 123)
Symmetry-distinct sites (fractional):
Li  0.000  0.000  0.000 x1
W  0.000  0.500  0.500 x2
Au  0.500  0.500  0.000 x1



Arrangement two

LiW2Au after structural relaxation. Source: Alexandria via LeMat-Bulk, functional PBE-GGA.

## Properties
The value obtained for the total magnetization is 0.0 μB/cell. Its density is 15386 kg/m³.

Cell lengths 3.287, 4.109, 9.136 Å; angles 90.00, 90.00, 90.00 degrees
Space group Immm (No. 71)
Symmetry-distinct sites (fractional):
Li  0.000  0.000  0.000 x2
W  0.000  0.500  0.253 x4
Au  0.000  0.000  0.500 x2



Structures ranked by computed energy, the most stable listed first: arrangement two, arrangement one.



Arrangement one

Li2YAu after structural relaxation. Source: Alexandria via LeMat-Bulk, functional PBE-GGA.

## Properties
The value obtained for the total magnetization is 0.0 μB/cell. Its density is 5790 kg/m³.

Cell lengths 3.414, 5.079, 4.967 Å; angles 90.00, 93.50, 90.00 degrees
Space group P2/m (No. 10)
Symmetry-distinct sites (fractional):
Li  0.167  0.000  0.282 x2
Y  0.500  0.500  0.000 x1
Au  0.000  0.500  0.500 x1



Arrangement two

Li2YAu after structural relaxation. Source: Alexandria via LeMat-Bulk, functional PBE-GGA.

## Properties
The value obtained for the total magnetization is 0.0 μB/cell. Its density is 5618 kg/m³.

Cell lengths 4.127, 4.127, 20.805 Å; angles 90.00, 90.00, 90.00 degrees
Space group I-42d (No. 122)
Symmetry-distinct sites (fractional):
Li  0.183  0.750  0.125 x8
Y  0.000  0.000  0.500 x4
Au  0.000  0.000  0.000 x4



Structures ranked by computed energy, the most stable listed first: arrangement one, arrangement two.



Arrangement one

Li2YAu after structural relaxation. Source: Alexandria via LeMat-Bulk, functional PBE-GGA.

## Properties
The value obtained for the total magnetization is 0.0 μB/cell. Its density is 5994 kg/m³.

Cell lengths 4.714, 5.557, 6.340 Å; angles 90.00, 90.10, 90.00 degrees
Space group P2_1/m (No. 11)
Symmetry-distinct sites (fractional):
Li  0.250  0.004  0.102 x4
Y  0.250  0.250  0.567 x2
Au  0.250  0.750  0.732 x2



Arrangement two

Li2YAu after structural relaxation. Source: Alexandria via LeMat-Bulk, functional PBE-GGA.

## Properties
The value obtained for the total magnetization is 0.0 μB/cell. Its density is 6789 kg/m³.

Cell lengths 6.644, 6.644, 6.644 Å; angles 90.00, 90.00, 90.00 degrees
Space group Fm-3m (No. 225)
Symmetry-distinct sites (fractional):
Li  0.250  0.250  0.250 x8
Y  0.000  0.000  0.000 x4
Au  0.000  0.000  0.500 x4



Arrangement three

Li2YAu after structural relaxation. Source: Alexandria via LeMat-Bulk, functional PBE-GGA.

## Properties
The value obtained for the total magnetization is 0.0 μB/cell. Its density is 5571 kg/m³.

Cell lengths 3.3772, 3.3772, 27.1351 Å; angles 90.00, 90.00, 120.00 degrees
Space group R-3m (No. 166, hexagonal axes)
Symmetry-distinct sites (fractional):
Li  0.0000  0.0000  0.2302 x6
Y  0.0000  0.0000  0.0000 x3
Au  0.0000  0.0000  0.5000 x3



Arrangement four

Li2YAu after structural relaxation. Source: Alexandria via LeMat-Bulk, functional PBE-GGA.

## Properties
The value obtained for the total magnetization is 0.0 μB/cell. Its density is 5586 kg/m³.

Cell lengths 3.686, 4.088, 6.183 Å; angles 90.00, 106.98, 90.00 degrees
Space group Pm (No. 6)
Symmetry-distinct sites (fractional):
Li  0.000  0.000  0.000 x1
Li  0.438  0.500  0.877 x1
Y  0.710  0.500  0.416 x1
Au  0.300  0.000  0.599 x1



Structures ranked by computed energy, the most stable listed first: arrangement one, arrangement four, arrangement two, arrangement three.



Arrangement one

Li2YAu after structural relaxation. Source: Alexandria via LeMat-Bulk, functional PBE-GGA.

## Properties
The value obtained for the total magnetization is 0.0 μB/cell. Its density is 6085 kg/m³.

Cell lengths 7.984, 4.547, 5.200 Å; angles 90.00, 119.92, 90.00 degrees
Space group Cm (No. 8)
Symmetry-distinct sites (fractional):
Li  0.000  0.000  0.000 x2
Li  0.228  0.500  0.184 x2
Y  0.218  0.000  0.653 x2
Au  0.439  0.000  0.320 x2



Arrangement two

Li2YAu after structural relaxation. Source: Alexandria via LeMat-Bulk, functional PBE-GGA.

## Properties
The value obtained for the total magnetization is 0.1 μB/cell. Its density is 6253 kg/m³.

Cell lengths 3.522, 3.522, 6.415 Å; angles 90.00, 90.00, 90.00 degrees
Space group P4/mmm (No. 123)
Symmetry-distinct sites (fractional):
Li  0.000  0.000  0.183 x2
Y  0.500  0.500  0.500 x1
Au  0.500  0.500  0.000 x1



Arrangement three

Li2YAu after structural relaxation. Source: Alexandria via LeMat-Bulk, functional PBE-GGA.

## Properties
The value obtained for the total magnetization is 0.0 μB/cell. Its density is 6223 kg/m³.

Cell lengths 4.233, 4.233, 8.927 Å; angles 90.00, 90.00, 90.00 degrees
Space group I4/mmm (No. 139)
Symmetry-distinct sites (fractional):
Li  0.000  0.500  0.250 x4
Y  0.000  0.000  0.000 x2
Au  0.000  0.000  0.500 x2



Structures ranked by computed energy, the most stable listed first: arrangement one, arrangement three, arrangement two.



Arrangement one

Li2YAu after structural relaxation. Source: Alexandria via LeMat-Bulk, functional PBE-GGA.

## Properties
The value obtained for the total magnetization is 0.0 μB/cell. Its density is 5771 kg/m³.

Cell lengths 3.579, 3.579, 6.733 Å; angles 90.00, 90.00, 90.00 degrees
Space group P4mm (No. 99)
Symmetry-distinct sites (fractional):
Li  0.000  0.000  0.000 x1
Li  0.500  0.500  0.194 x1
Y  0.000  0.000  0.549 x1
Au  0.500  0.500  0.785 x1



Arrangement two

Li2YAu after structural relaxation. Source: Alexandria via LeMat-Bulk, functional PBE-GGA.

## Properties
The value obtained for the total magnetization is 0.0 μB/cell. Its density is 5969 kg/m³.

Cell lengths 10.262, 3.565, 4.832 Å; angles 90.00, 109.35, 90.00 degrees
Space group C2/m (No. 12)
Symmetry-distinct sites (fractional):
Li  0.221  0.000  0.193 x4
Y  0.000  0.000  0.500 x2
Au  0.000  0.500  0.000 x2



Structures ranked by computed energy, the most stable listed first: arrangement one, arrangement two.



Arrangement one

Li2YAu after structural relaxation. Source: Alexandria via LeMat-Bulk, functional PBE-GGA.

## Properties
The value obtained for the total magnetization is 0.4 μB/cell. Its density is 5793 kg/m³.

Cell lengths 4.113, 4.125, 5.065 Å; angles 90.00, 90.00, 90.00 degrees
Space group Pmmm (No. 47)
Symmetry-distinct sites (fractional):
Li  0.000  0.000  0.000 x1
Li  0.500  0.500  0.000 x1
Y  0.000  0.500  0.500 x1
Au  0.500  0.000  0.500 x1



Arrangement two

Li2YAu after structural relaxation. Source: Alexandria via LeMat-Bulk, functional PBE-GGA.

## Properties
The value obtained for the total magnetization is 0.0 μB/cell. Its density is 5916 kg/m³.

Cell lengths 3.552, 4.831, 9.805 Å; angles 90.00, 90.00, 90.00 degrees
Space group Immm (No. 71)
Symmetry-distinct sites (fractional):
Li  0.000  0.000  0.217 x4
Y  0.000  0.500  0.000 x2
Au  0.000  0.500  0.500 x2



Structures ranked by computed energy, the most stable listed first: arrangement two, arrangement one.



Arrangement one

LiY2Au3 after structural relaxation. Source: Alexandria via LeMat-Bulk, functional PBE-GGA.

## Properties
The value obtained for the total magnetization is 0.0 μB/cell. Its density is 9944 kg/m³.

Cell lengths 4.9930, 4.9930, 11.9988 Å; angles 90.00, 90.00, 120.00 degrees
Space group P-3m1 (No. 164)
Symmetry-distinct sites (fractional):
Li  0.3333  0.6667  0.1689 x2
Y  0.0000  0.0000  0.0000 x1
Y  0.0000  0.0000  0.5000 x1
Y  0.3333  0.6667  0.6855 x2
Au  0.0000  0.0000  0.2499 x2
Au  0.3333  0.6667  0.4218 x2
Au  0.3333  0.6667  0.9353 x2



Arrangement two

LiY2Au3 after structural relaxation. Source: Alexandria via LeMat-Bulk, functional PBE-GGA.

## Properties
The value obtained for the total magnetization is 0.0 μB/cell. Its density is 9796 kg/m³.

Cell lengths 4.879, 14.846, 3.630 Å; angles 90.00, 90.00, 90.00 degrees
Space group Cmmm (No. 65)
Symmetry-distinct sites (fractional):
Li  0.000  0.000  0.000 x2
Y  0.000  0.340  0.000 x4
Au  0.000  0.173  0.500 x4
Au  0.000  0.500  0.500 x2



Structures ranked by computed energy, the most stable listed first: arrangement one, arrangement two.



Arrangement one

LiY2Au6 after structural relaxation. Source: Alexandria via LeMat-Bulk, functional PBE-GGA.

## Properties
The value obtained for the total magnetization is 0.0 μB/cell. Its density is 12578 kg/m³.

Cell lengths 6.2152, 6.2152, 5.3925 Å; angles 90.00, 90.00, 120.00 degrees
Space group P-3m1 (No. 164)
Symmetry-distinct sites (fractional):
Li  0.0000  0.0000  0.0000 x1
Y  0.3333  0.6667  0.1824 x2
Au  0.1776  0.3552  0.7007 x6



Arrangement two

LiY2Au6 after structural relaxation. Source: Alexandria via LeMat-Bulk, functional PBE-GGA.

## Properties
The value obtained for the total magnetization is 0.0 μB/cell. Its density is 12372 kg/m³.

Cell lengths 5.214, 15.637, 5.192 Å; angles 90.00, 119.94, 90.00 degrees
Space group C2/m (No. 12)
Symmetry-distinct sites (fractional):
Li  0.000  0.000  0.000 x2
Y  0.000  0.337  0.500 x4
Au  0.158  0.500  0.322 x4
Au  0.162  0.163  0.832 x8



Structures ranked by computed energy, the most stable listed first: arrangement two, arrangement one.